No. 1
The following is a DFT calculation (GGA-PBE) of a geometry-optimized Nd2DyHo3Tm6 structure.

Values from the calculation:
space-group type: C2/m, No. 12
volume: 373 Å³/f.u.
energy of formation: 23 meV/atom

Cell and atoms, written as extended XYZ:
```
12
Lattice="6.122 0.002 0.005 -3.058 5.303 0.005 -1.027 -1.778 11.486" Properties=species:S:1:pos:R:3 pbc="T T T"
Tm 2.038 0.002 2.906
Tm 3.054 1.761 8.589
Tm -0.008 -0.014 8.582
Tm -0.001 3.526 8.589
Tm 2.045 3.541 2.913
Tm -1.017 1.766 2.906
Ho -2.042 3.531 5.747
Ho 1.019 1.764 5.747
Ho 4.079 -0.004 5.747
Nd 3.061 1.770 0.005
Nd 0.003 3.536 0.005
Dy 0.000 0.000 0.000
```

No. 2
The following is a DFT calculation (GGA-PBE) of a geometry-optimized Nd2DyHoTm6 structure.

Values from the calculation:
space-group type: C2/c, No. 15
volume: 316 Å³/f.u.
energy of formation: 119 meV/atom

Cell and atoms, written as extended XYZ:
```
20
Lattice="-6.587 6.306 3.047 -3.961 -1.560 -7.578 -1.295 -5.591 6.528" Properties=species:S:1:pos:R:3 pbc="T T T"
Tm -6.780 1.656 -3.113
Tm -4.885 -0.016 -0.748
Tm -1.839 -3.987 4.076
Tm -5.362 1.072 5.678
Tm -6.482 -1.917 -3.680
Tm -8.301 -0.993 5.643
Tm -5.064 -2.501 5.110
Tm -3.543 0.148 -3.646
Tm -6.959 -0.830 2.745
Tm -7.615 2.285 3.759
Tm -10.004 3.141 -2.079
Tm -4.229 -3.130 -1.762
Nd -7.117 -2.308 -0.134
Nd -4.726 1.463 2.131
Nd -1.710 -1.271 -0.859
Nd -10.134 0.425 2.857
Dy -6.283 -0.789 8.560
Dy -5.560 -0.056 -6.563
Ho -4.025 -2.377 1.559
Ho -7.818 1.532 0.438
```

No. 3
The following is a DFT calculation (GGA-PBE) of a geometry-optimized Nd6DyHo2Tm structure.

Values from the calculation:
space-group type: C2/c, No. 15
volume: 338 Å³/f.u.
energy of formation: 117 meV/atom

Cell and atoms, written as extended XYZ:
```
20
Lattice="-4.836 -0.487 -8.300 4.598 -7.520 -1.555 -7.385 -0.600 5.021" Properties=species:S:1:pos:R:3 pbc="T T T"
Ho -7.287 -6.215 -4.997
Ho -3.699 -6.646 -1.489
Ho -3.924 -1.961 -3.345
Ho -0.336 -2.392 0.163
Tm -3.657 -3.573 0.236
Tm -3.967 -5.034 -5.071
Dy 3.061 -7.452 -3.450
Dy -10.684 -1.155 -1.384
Nd -5.357 -1.368 3.201
Nd -6.695 -2.931 -5.217
Nd -9.248 -4.270 -2.430
Nd -2.267 -7.239 -8.035
Nd -7.585 -2.528 0.360
Nd -5.964 -4.407 -2.331
Nd -1.659 -4.199 -2.503
Nd -7.461 -0.731 -2.897
Nd 1.624 -4.337 -2.405
Nd -0.163 -7.876 -1.938
Nd -0.928 -5.676 0.382
Nd -0.038 -6.079 -5.195
```

No. 4
The following is a DFT calculation (GGA-PBE) of a geometry-optimized Nd6Dy3Ho2Tm structure.

Values from the calculation:
space-group type: C2/m, No. 12
volume: 395 Å³/f.u.
energy of formation: 12 meV/atom

Cell and atoms, written as extended XYZ:
```
12
Lattice="6.261 -0.001 0.007 -3.129 5.423 0.007 -1.054 -1.824 11.636" Properties=species:S:1:pos:R:3 pbc="T T T"
Nd 2.087 3.614 2.912
Nd -1.043 1.804 2.902
Nd 3.121 1.794 8.748
Nd -0.009 -0.016 8.739
Nd -0.006 3.600 8.748
Nd 2.084 -0.002 2.902
Dy 1.039 1.799 5.825
Dy 4.168 -0.009 5.825
Dy -2.091 3.606 5.825
Ho 3.131 1.807 0.007
Ho 0.001 3.615 0.007
Tm 0.000 0.000 0.000
```

VASP energy / eV/atom: -4.535, -4.435, -4.567, -4.658